# 1
YRh3O (GGA-PBE, optimized geometry); space group = Pm-3m, No. 221; uncorrected formation energy = 8.97 eV per formula unit; M_tot = 3.64 Bohr magnetons per cell; Fermi-level density of states = 2.0411 states/eV/atom
1.0
4.985 0.000 0.000
0.000 4.985 0.000
0.000 0.000 4.985
O Rh Y
1 3 1
Cartesian
2.493 2.493 2.493 O
0.000 2.493 0.000 Rh
2.493 0.000 0.000 Rh
0.000 0.000 2.493 Rh
0.000 0.000 0.000 Y

# 2
Y3RhO (GGA-PBE, optimized geometry); space group = Pm-3m, No. 221; uncorrected formation energy = -6.66 eV per formula unit; M_tot = 0.00 Bohr magnetons per cell; Fermi-level density of states = 1.2349 states/eV/atom
1.0
4.684 0.000 0.000
0.000 4.684 0.000
0.000 0.000 4.684
Rh O Y
1 1 3
Cartesian
2.342 2.342 2.342 Rh
0.000 0.000 0.000 O
0.000 0.000 2.342 Y
2.342 0.000 0.000 Y
0.000 2.342 0.000 Y

# 3
Y6RhO12 (GGA-PBE, optimized geometry); space group = R-3, No. 148; uncorrected formation energy = -55.01 eV per formula unit; M_tot = 3.08 Bohr magnetons per cell; Fermi-level density of states = 0.2026 states/eV/atom
1.0
-6.467 0.467 0.254
0.963 -3.106 5.615
1.478 6.008 1.956
O Y Rh
12 6 1
Cartesian
-4.946 4.531 1.807 O
-0.446 5.716 2.354 O
-1.977 -0.569 3.780 O
1.818 3.430 5.760 O
-3.580 -2.346 5.471 O
-1.012 1.035 5.830 O
-5.843 -0.061 2.065 O
-3.014 2.335 1.996 O
-4.172 1.081 4.184 O
0.146 2.289 3.641 O
0.920 -1.161 6.018 O
-2.049 3.939 4.046 O
0.124 0.043 4.081 Y
-0.583 3.192 5.637 Y
-3.049 -0.006 5.745 Y
-4.150 3.327 3.744 Y
-0.976 3.375 2.080 Y
-3.443 0.177 2.188 Y
0.000 0.000 0.000 Rh

# 4
Y6Rh2O (GGA-PBE, optimized geometry); space group = P2_1/c, No. 14; uncorrected formation energy = -9.73 eV per formula unit; M_tot = 0.00 Bohr magnetons per cell; Fermi-level density of states = 0.9646 states/eV/atom
1.0
6.389 0.000 -0.032
0.000 7.073 0.000
0.266 0.000 9.494
Y Rh O
12 4 2
Cartesian
2.470 3.792 2.304 Y
1.433 2.305 8.922 Y
0.858 0.255 2.427 Y
2.329 5.774 8.895 Y
5.222 4.768 0.540 Y
2.160 5.841 5.303 Y
1.264 2.238 5.330 Y
4.185 3.281 7.158 Y
5.797 6.817 7.034 Y
4.326 1.299 0.567 Y
5.390 4.835 4.132 Y
4.495 1.232 4.159 Y
6.165 2.799 2.306 Rh
0.490 4.273 7.156 Rh
3.103 0.737 7.068 Rh
3.552 6.336 2.393 Rh
3.195 3.536 -0.016 O
0.133 0.000 4.747 O

# 5
YRh3O (GGA-PBE, optimized geometry); space group = Pm-3m, No. 221; uncorrected formation energy = -2.01 eV per formula unit; M_tot = 0.00 Bohr magnetons per cell; Fermi-level density of states = 1.2257 states/eV/atom
1.0
-1.980 1.627 -3.382
-0.420 -3.896 -1.629
-3.730 -0.425 1.979
O Rh Y
1 3 1
Cartesian
0.000 0.000 0.000 O
-0.210 -1.948 -0.814 Rh
-0.990 0.814 -1.691 Rh
-1.865 -0.213 0.990 Rh
-3.065 -1.347 -1.516 Y

# 6
YRhO2 (GGA-PBE, optimized geometry); space group = I-42d, No. 122; uncorrected formation energy = -6.49 eV per formula unit; M_tot = 0.00 Bohr magnetons per cell; Fermi-level density of states = 0.8206 states/eV/atom
1.0
-3.089 -0.131 -3.001
0.253 -4.301 -0.073
-5.798 -2.549 2.985
Rh O Y
2 4 2
Cartesian
0.000 0.000 0.000 Rh
-5.152 -2.448 -0.777 Rh
-6.823 -5.902 -0.453 O
-1.597 -3.338 0.404 O
-5.418 -3.461 1.088 O
-3.429 -1.260 -1.217 O
-3.482 -4.533 0.688 Y
-1.418 -2.216 -1.537 Y

| no. | E_tot (eV/atom) |
| --- | --- |
| 1 | -4.902 |
| 2 | -7.672 |
| 3 | -8.455 |
| 4 | -7.575 |
| 5 | -7.098 |
| 6 | -7.556 |